A relaxed structure of ScPPt. Source: Alexandria, functional PBE.

Unit cell a=4.304 b=5.205 c=9.127 alpha=90.00 beta=90.00 gamma=90.00
Sites, in units of the cell vectors:
Sc 0.250 0.311 0.629
Sc 0.750 0.189 0.129
Sc 0.750 0.689 0.371
Sc 0.250 0.811 0.871
P 0.250 0.293 0.932
P 0.750 0.207 0.432
P 0.750 0.707 0.068
P 0.250 0.793 0.568
Pt 0.250 0.074 0.341
Pt 0.750 0.426 0.841
Pt 0.750 0.926 0.659
Pt 0.250 0.574 0.159

Summary:
The space-group type is Pnma, No. 62. Its energy of formation from the pure elements is -99.3 kJ per mole of atoms.